Density functional theory data (PBE-GGA) for a relaxed ReAg2Br crystal.

Cell lengths 2.9517, 5.2285, 10.0171 Å; angles 90.00, 90.00, 90.00 degrees
With the nearest neighbours (Å) after each atom.
Space group Cmm2 (No. 35)
Symmetry-distinct sites (fractional):
1 Re 0.0000 0.0000 0.0000  2 Br 2.55, 2 Ag 2.81
2 Ag 0.0000 0.0000 0.5183  8 Ag 2.85-3.00
3 Ag 0.0000 0.5000 0.7613  2 Re 2.81, 8 Ag 2.85-3.00
4 Br 0.0000 0.5000 0.2070  2 Re 2.55

## Properties
* DOS(E_F): 5.33 states/eV/cell
* E_form (uncorrected): 0.715 eV per atom

Density functional theory data (PBE-GGA) for a relaxed ReAg2Br crystal.

Cell lengths 4.0161, 4.0161, 4.6687 Å; angles 90.00, 90.00, 90.00 degrees
With the nearest neighbours (Å) after each atom.
Space group P4/mmm (No. 123)
Symmetry-distinct sites (fractional):
1 Re 0.0000 0.0000 0.0000  4 Br 2.84, 8 Ag 3.08
2 Ag 0.0000 0.5000 0.5000  4 Ag 2.84, 4 Re 3.08, 4 Br 3.08
3 Br 0.5000 0.5000 0.0000  4 Re 2.84, 8 Ag 3.08

## Properties
* DOS(E_F): 2.84 states/eV/cell
* E_form (uncorrected): 1.225 eV per atom

Density functional theory data (PBE-GGA) for a relaxed Re2AgBr crystal.

Cell lengths 6.1534, 3.3498, 8.5039 Å; angles 90.00, 107.35, 90.00 degrees
With the nearest neighbours (Å) after each atom.
Space group Cm (No. 8)
Symmetry-distinct sites (fractional):
1 Re 0.0000 0.0000 0.0000  3 Re 2.36-2.43
2 Re 0.2462 0.0000 0.8344  3 Re 2.36-2.43
3 Ag 0.4721 0.0000 0.5718  3 Re 2.90-2.96, 3 Br 3.04-3.20
4 Br 0.1474 0.5000 0.2732  2 Re 2.79, 1 Ag 3.04

## Properties
* DOS(E_F): 1.93 states/eV/cell
* E_form (uncorrected): 0.534 eV per atom

Density functional theory data (PBE-GGA) for a relaxed ReAg2Br crystal.

Cell lengths 9.3524, 2.9156, 5.4878 Å; angles 90.00, 101.54, 90.00 degrees
With the nearest neighbours (Å) after each atom.
Space group Cm (No. 8)
Symmetry-distinct sites (fractional):
1 Re 0.0000 0.0000 0.0000  3 Br 2.65-2.68, 2 Ag 2.89, 2 Re 2.92
2 Ag 0.0155 0.5000 0.4813  5 Ag 2.72-2.92, 2 Re 2.99
3 Ag 0.2704 0.0000 0.6757  5 Ag 2.72-2.92, 2 Re 2.89, 2 Br 2.96
4 Br 0.2391 0.5000 0.1319  3 Re 2.65-2.68, 2 Br 2.92, 2 Ag 2.96

## Properties
* DOS(E_F): 4.08 states/eV/cell
* E_form (uncorrected): 0.884 eV per atom

Density functional theory data (PBE-GGA) for a relaxed Re2AgBr crystal.

Cell lengths 5.4178, 9.0246, 2.8034 Å; angles 90.00, 90.00, 90.00 degrees
With the nearest neighbours (Å) after each atom.
Space group Cmmm (No. 65)
Symmetry-distinct sites (fractional):
1 Re 0.2500 0.2500 0.0000  4 Re 2.71-2.80, 4 Br 2.98, 4 Ag 2.98
2 Ag 0.0000 0.0000 0.5000  2 Br 2.71, 2 Ag 2.80, 8 Re 2.98
3 Br 0.0000 0.5000 0.5000  2 Ag 2.71, 2 Br 2.80, 8 Re 2.98

## Properties
* DOS(E_F): 9.96 states/eV/cell
* E_form (uncorrected): 1.535 eV per atom

Density functional theory data (PBE-GGA) for a relaxed Re2AgBr crystal.

Cell lengths 2.8581, 4.8311, 10.3256 Å; angles 90.00, 90.00, 90.00 degrees
With the nearest neighbours (Å) after each atom.
Space group Imm2 (No. 44)
Symmetry-distinct sites (fractional):
1 Re 0.0000 0.0000 0.0000  2 Re 2.52
2 Re 0.0000 0.5000 0.2986  2 Re 2.52, 2 Br 2.79, 4 Ag 2.82
3 Ag 0.0000 0.5000 0.7722  6 Re 2.82-3.15, 2 Ag 2.86
4 Br 0.0000 0.0000 0.5671  6 Re 2.79-2.89, 2 Br 2.86

## Properties
* DOS(E_F): 5.98 states/eV/cell
* E_form (uncorrected): 1.112 eV per atom

Density functional theory data (PBE-GGA) for a relaxed Re2AgBr crystal.

Cell lengths 2.9025, 2.9025, 27.1040 Å; angles 90.00, 90.00, 120.00 degrees
With the nearest neighbours (Å) after each atom.
Space group R-3m (No. 166, hexagonal axes)
Symmetry-distinct sites (fractional):
1 Re 0.0000 0.0000 0.2468  3 Br 2.74, 3 Ag 2.88, 6 Re 2.90
2 Ag 0.0000 0.0000 0.0000  6 Re 2.88, 6 Ag 2.90
3 Br 0.0000 0.0000 0.5000  6 Re 2.74, 6 Br 2.90

## Properties
* DOS(E_F): 15.64 states/eV/cell
* E_form (uncorrected): 1.134 eV per atom

Density functional theory data (PBE-GGA) for a relaxed ReAgSeBr2 crystal.

Cell lengths 5.1138, 5.1138, 5.3956 Å; angles 90.00, 90.00, 90.00 degrees
With the nearest neighbours (Å) after each atom.
Space group P4/mmm (No. 123)
Symmetry-distinct sites (fractional):
1 Re 0.0000 0.0000 0.0000  4 Se 3.62, 8 Br 3.72
2 Ag 0.5000 0.5000 0.5000  4 Br 2.56, 2 Se 2.70
3 Se 0.5000 0.5000 0.0000  2 Ag 2.70
4 Br 0.0000 0.5000 0.5000  2 Ag 2.56

## Properties
* DOS(E_F): 1.97 states/eV/cell
* E_form (uncorrected): 1.241 eV per atom

Density functional theory data (PBE-GGA) for a relaxed ReAgSe2Br crystal.

Cell lengths 4.7857, 4.7857, 5.5407 Å; angles 90.00, 90.00, 90.00 degrees
With the nearest neighbours (Å) after each atom.
Space group P4/mmm (No. 123)
Symmetry-distinct sites (fractional):
1 Re 0.0000 0.0000 0.0000  4 Se 2.39
2 Ag 0.5000 0.5000 0.5000  4 Br 3.38, 8 Se 3.66
3 Se 0.0000 0.5000 0.0000  2 Re 2.39
4 Br 0.0000 0.0000 0.5000  2 Re 2.77

## Properties
* DOS(E_F): 2.87 states/eV/cell
* E_form (uncorrected): 0.454 eV per atom

Density functional theory data (PBE-GGA) for a relaxed ReAgSeBr2 crystal.

Cell lengths 5.3178, 5.3178, 4.6918 Å; angles 90.00, 90.00, 90.00 degrees
With the nearest neighbours (Å) after each atom.
Space group P4/mmm (No. 123)
Symmetry-distinct sites (fractional):
1 Re 0.0000 0.0000 0.0000  2 Se 2.35
2 Ag 0.5000 0.5000 0.5000  8 Br 3.55, 4 Se 3.76
3 Se 0.0000 0.0000 0.5000  2 Re 2.35
4 Br 0.0000 0.5000 0.0000  2 Re 2.66

## Properties
* DOS(E_F): 3.16 states/eV/cell
* E_form (uncorrected): 0.484 eV per atom

Density functional theory data (PBE-GGA) for a relaxed Re2SiAgBr crystal.

Cell lengths 5.0957, 5.0957, 4.8881 Å; angles 90.00, 90.00, 90.00 degrees
With the nearest neighbours (Å) after each atom.
Space group P4/mmm (No. 123)
Symmetry-distinct sites (fractional):
1 Re 0.0000 0.5000 0.0000  2 Ag 2.55
2 Si 0.0000 0.0000 0.5000  8 Re 3.53, 4 Br 3.60
3 Ag 0.5000 0.5000 0.0000  2 Br 2.44, 4 Re 2.55
4 Br 0.5000 0.5000 0.5000  2 Ag 2.44

## Properties
* DOS(E_F): 3.58 states/eV/cell
* E_form (uncorrected): 2.682 eV per atom

Density functional theory data (PBE-GGA) for a relaxed TlReAg2Br8 crystal.

Cell lengths 6.4398, 7.2060, 8.5076 Å; angles 92.91, 90.71, 97.52 degrees
With the nearest neighbours (Å) after each atom.
Space group P-1 (No. 2)
Symmetry-distinct sites (fractional):
1 Tl 0.0000 0.0000 0.0000  6 Br 3.05-3.07
2 Re 0.0000 0.0000 0.5000  6 Br 2.50-2.53
3 Ag 0.0396 0.5040 0.2248  4 Br 2.70-2.99
4 Br 0.2030 0.7222 0.4813  1 Re 2.53, 1 Ag 2.74
5 Br 0.2355 0.1645 0.3017  1 Re 2.52
6 Br 0.2428 0.1478 0.7164  1 Re 2.50
7 Br 0.2577 0.6724 0.9771  2 Ag 2.70-2.79

## Properties
* DOS(E_F): 2.84 states/eV/cell
* E_form (uncorrected): -0.365 eV per atom

Density functional theory data (PBE-GGA) for a relaxed Tl2ReAgBr crystal.

Cell lengths 5.6154, 5.6154, 5.2859 Å; angles 90.00, 90.00, 90.00 degrees
With the nearest neighbours (Å) after each atom.
Space group P4/mmm (No. 123)
Symmetry-distinct sites (fractional):
1 Tl 0.0000 0.5000 0.0000  2 Ag 2.81
2 Re 0.0000 0.0000 0.5000  2 Ag 2.64
3 Ag 0.0000 0.0000 0.0000  2 Re 2.64, 4 Tl 2.81
4 Br 0.5000 0.5000 0.5000  8 Tl 3.86, 4 Re 3.97

## Properties
* DOS(E_F): 2.65 states/eV/cell
* E_form (uncorrected): 1.046 eV per atom

Density functional theory data (PBE-GGA) for a relaxed TlReAgBr6 crystal.

Cell lengths 7.2234, 7.2234, 13.7843 Å; angles 90.00, 90.00, 120.00 degrees
With the nearest neighbours (Å) after each atom.
Space group P-31c (No. 163)
Symmetry-distinct sites (fractional):
1 Tl 0.0000 0.0000 0.0000  6 Br 3.34
2 Re 0.3333 0.6667 0.2500  6 Br 2.54
3 Ag 0.3333 0.6667 0.7500  6 Br 2.90
4 Br 0.0380 0.3911 0.1432  1 Re 2.54

## Properties
* E_form (uncorrected): -0.408 eV per atom

Density functional theory data (PBE-GGA) for a relaxed YReAgBr2 crystal.

Cell lengths 5.4550, 5.4550, 5.7951 Å; angles 90.00, 90.00, 90.00 degrees
With the nearest neighbours (Å) after each atom.
Space group P4/mmm (No. 123)
Symmetry-distinct sites (fractional):
1 Y 0.0000 0.0000 0.0000  4 Br 2.73, 2 Re 2.90
2 Re 0.0000 0.0000 0.5000  2 Y 2.90
3 Ag 0.5000 0.5000 0.5000  4 Re 3.86, 8 Br 3.98
4 Br 0.0000 0.5000 0.0000  2 Y 2.73

## Properties
* DOS(E_F): 3.36 states/eV/cell
* E_form (uncorrected): 0.670 eV per atom

Density functional theory data (PBE-GGA) for a relaxed AgRhBr6 crystal.

Cell lengths 6.3730, 6.5521, 6.6497 Å; angles 64.78, 89.18, 63.66 degrees
With the nearest neighbours (Å) after each atom.
Space group P-1 (No. 2)
Symmetry-distinct sites (fractional):
1 Ag 0.0000 0.0000 0.0000  4 Br 2.65
2 Rh 0.5000 0.0000 0.5000  6 Br 2.49-2.51
3 Br 0.1043 0.1751 0.2561  1 Rh 2.50, 1 Ag 2.65
4 Br 0.2613 0.1802 0.7436  1 Rh 2.51, 1 Ag 2.65
5 Br 0.4759 0.4288 0.2757  1 Rh 2.49

## Properties
* DOS(E_F): 10.47 states/eV/cell
* E_form (uncorrected): -0.181 eV per atom

Density functional theory data (PBE-GGA) for a relaxed Ag2RhBr crystal.

Cell lengths 9.1197, 3.1744, 6.4073 Å; angles 90.00, 104.71, 90.00 degrees
With the nearest neighbours (Å) after each atom.
Space group Cm (No. 8)
Symmetry-distinct sites (fractional):
1 Ag 0.0000 0.0000 0.0000  3 Rh 2.72-2.79, 3 Ag 2.78-2.91
2 Ag 0.2352 0.0000 0.7955  1 Br 2.77, 3 Ag 2.78-2.91, 2 Rh 2.83
3 Rh 0.2537 0.5000 0.1664  2 Br 2.42
4 Br 0.3642 0.0000 0.4484  2 Rh 2.42

## Properties
* DOS(E_F): 2.18 states/eV/cell
* E_form (uncorrected): 0.239 eV per atom

Density functional theory data (PBE-GGA) for a relaxed Ag3RhBr6 crystal.

Cell lengths 11.5113, 11.5113, 14.4741 Å; angles 90.00, 90.00, 120.00 degrees
With the nearest neighbours (Å) after each atom.
Space group R-3 (No. 148, hexagonal axes)
Symmetry-distinct sites (fractional):
1 Ag 0.0572 0.8011 0.2075  5 Br 2.75-3.02
2 Rh 0.0000 0.0000 0.0000  6 Br 2.51
3 Rh 0.0000 0.0000 0.5000  6 Br 2.52
4 Br 0.0354 0.8386 0.4030  1 Rh 2.52, 1 Ag 2.75
5 Br 0.0540 0.8577 0.8972  1 Rh 2.51, 1 Ag 2.76

## Properties
* E_form (uncorrected): -0.331 eV per atom

Density functional theory data (PBE-GGA) for a relaxed Ag2RhBr crystal.

Cell lengths 3.0174, 4.2761, 12.3523 Å; angles 90.00, 90.00, 90.00 degrees
With the nearest neighbours (Å) after each atom.
Space group Immm (No. 71)
Symmetry-distinct sites (fractional):
1 Ag 0.0000 0.0000 0.1990  2 Rh 2.88, 6 Ag 2.90-3.02
2 Rh 0.0000 0.5000 0.5000  4 Br 2.62, 4 Ag 2.88
3 Br 0.0000 0.5000 0.0000  4 Rh 2.62

## Properties
* DOS(E_F): 5.43 states/eV/cell
* E_form (uncorrected): 0.343 eV per atom

Density functional theory data (PBE-GGA) for a relaxed Ag2RhBr crystal.

Cell lengths 3.7131, 3.2011, 7.0815 Å; angles 90.00, 105.08, 90.00 degrees
With the nearest neighbours (Å) after each atom.
Space group Pm (No. 6)
Symmetry-distinct sites (fractional):
1 Ag 0.0000 0.0000 0.0000  4 Rh 2.79, 4 Ag 2.88
2 Ag 0.3902 0.5000 0.7787  1 Rh 2.84, 4 Ag 2.88
3 Rh 0.5963 0.5000 0.1941  2 Br 2.46
4 Br 0.7322 0.0000 0.4668  2 Rh 2.46

## Properties
* DOS(E_F): 2.41 states/eV/cell
* E_form (uncorrected): 0.241 eV per atom

Number 1: volume 19.325 A^3/atom. Number 2: volume 18.826 A^3/atom. Number 3: volume 20.914 A^3/atom. Number 4: volume 18.327 A^3/atom. Number 5: volume 17.134 A^3/atom. Number 6: volume 17.822 A^3/atom. Number 7: volume 16.479 A^3/atom. Number 8: volume 28.220 A^3/atom. Number 9: volume 25.379 A^3/atom. Number 10: volume 26.535 A^3/atom. Number 11: volume 25.385 A^3/atom. Number 12: volume 32.569 A^3/atom. Number 13: volume 33.336 A^3/atom. Number 14: volume 34.604 A^3/atom. Number 15: volume 34.489 A^3/atom. Number 16: volume 27.478 A^3/atom. Number 17: volume 22.426 A^3/atom. Number 18: volume 27.683 A^3/atom. Number 19: volume 19.923 A^3/atom. Number 20: volume 20.318 A^3/atom.